# 1
Cd2ReSi | PBE | relaxed Values from VASP.

Output
* symmetry: Immm (71)
* raw total energy: -4.417 eV per atom
* total magnetic moment: 0.0 μB/f.u.

```
&SYSTEM
  ibrav = 0, nat = 4, ntyp = 3
/
ATOMIC_SPECIES
Cd 112.41 Cd.upf
Si 28.09 Si.upf
Re 186.21 Re.upf
ATOMIC_POSITIONS angstrom
Cd -2.5147 1.1045 -3.8558
Cd -0.0571 0.0251 -0.0875
Si -1.4734 -1.0744 -2.3189
Re -3.0345 0.5257 -0.8425
CELL_PARAMETERS angstrom
-4.1328 2.7297 -2.4669
-1.0107 -0.4705 -5.4198
0.6356 -2.8079 4.7253
```



# 2
Ba3LiSi | PBE | relaxed Values from VASP.

Output
* symmetry: Pm-3m (221)
* raw total energy: -2.620 eV per atom
* energy above the most stable polymorph in this dataset: 0 meV per atom
* total magnetic moment: 0.0 μB/f.u.

```
&SYSTEM
  ibrav = 0, nat = 5, ntyp = 3
/
ATOMIC_SPECIES
Si 28.09 Si.upf
Ba 137.33 Ba.upf
Li 6.94 Li.upf
ATOMIC_POSITIONS angstrom
Si 0.0000 0.0000 0.0000
Ba -2.8949 0.8531 -1.1982
Ba -1.2637 -2.7961 1.0624
Ba -0.7526 1.4134 2.8248
Li -4.9113 -0.5296 2.6890
CELL_PARAMETERS angstrom
-1.5053 2.8268 5.6497
-5.7898 1.7062 -2.3964
-2.5274 -5.5923 2.1247
```



# 3
LiHfTaRh2 | PBE | relaxed Values from VASP.

Output
* symmetry: P4/mmm (123)
* raw total energy: -7.343 eV per atom
* formation enthalpy at 0 K: 33 kJ/mol of atoms
* total magnetic moment: 0.0 μB/f.u.

```
&SYSTEM
  ibrav = 0, nat = 5, ntyp = 4
/
ATOMIC_SPECIES
Li 6.94 Li.upf
Rh 102.91 Rh.upf
Ta 180.95 Ta.upf
Hf 178.49 Hf.upf
ATOMIC_POSITIONS angstrom
Li 0.0000 0.0000 0.0000
Rh 0.0000 0.0000 2.1019
Rh 2.1019 0.0000 0.0000
Ta 2.1019 2.1983 2.1019
Hf 0.0000 2.1983 0.0000
CELL_PARAMETERS angstrom
4.2038 0.0000 0.0000
0.0000 4.3967 0.0000
0.0000 0.0000 4.2038
```